PBE HoGaNiAu, optimized geometry; size of the total moment = 0.0 μB/cell; E = -0.3412 Ry/atom; space-group type = F-43m
1.0
6.5947 0.0000 0.0000
0.0000 6.5947 0.0000
0.0000 0.0000 6.5947
Ho Ga Ni Au
4 4 4 4
direct
0.0000 0.0000 0.0000 Ho
0.0000 0.5000 0.5000 Ho
0.5000 0.0000 0.5000 Ho
0.5000 0.5000 0.0000 Ho
0.0000 0.0000 0.5000 Ga
0.0000 0.5000 0.0000 Ga
0.5000 0.0000 0.0000 Ga
0.5000 0.5000 0.5000 Ga
0.2500 0.2500 0.2500 Ni
0.2500 0.7500 0.7500 Ni
0.7500 0.2500 0.7500 Ni
0.7500 0.7500 0.2500 Ni
0.2500 0.2500 0.7500 Au
0.2500 0.7500 0.2500 Au
0.7500 0.2500 0.2500 Au
0.7500 0.7500 0.7500 Au


PBE HoPaGaAu, optimized geometry; size of the total moment = 6.6 μB/cell; E = -0.3986 Ry/atom; space-group type = F-43m
1.0
7.2023 0.0000 0.0000
0.0000 7.2023 0.0000
0.0000 0.0000 7.2023
Ho Pa Ga Au
4 4 4 4
direct
0.0000 0.0000 0.0000 Ho
0.0000 0.5000 0.5000 Ho
0.5000 0.0000 0.5000 Ho
0.5000 0.5000 0.0000 Ho
0.0000 0.0000 0.5000 Pa
0.0000 0.5000 0.0000 Pa
0.5000 0.0000 0.0000 Pa
0.5000 0.5000 0.5000 Pa
0.2500 0.2500 0.7500 Ga
0.2500 0.7500 0.2500 Ga
0.7500 0.2500 0.2500 Ga
0.7500 0.7500 0.7500 Ga
0.2500 0.2500 0.2500 Au
0.2500 0.7500 0.7500 Au
0.7500 0.2500 0.7500 Au
0.7500 0.7500 0.2500 Au


PBE HoGa3PdAu, optimized geometry; size of the total moment = 0.0 μB/cell; E = -0.3043 Ry/atom; space-group type = Cmcm
1.0
2.8565 -6.7676 0.0000
2.8565 6.7676 0.0000
0.0000 0.0000 5.8778
Ho Ga Pd Au
2 6 2 2
direct
0.1967 0.8033 0.7500 Ho
0.8033 0.1967 0.2500 Ho
0.2181 0.2181 0.0000 Ga
0.2181 0.2181 0.5000 Ga
0.3717 0.6283 0.2500 Ga
0.6283 0.3717 0.7500 Ga
0.7819 0.7819 0.0000 Ga
0.7819 0.7819 0.5000 Ga
0.3986 0.6014 0.7500 Pd
0.6014 0.3986 0.2500 Pd
0.1757 0.8243 0.2500 Au
0.8243 0.1757 0.7500 Au


PBE HoGa2Pd2Au, optimized geometry; size of the total moment = 0.0 μB/cell; E = -0.3478 Ry/atom; space-group type = P-3m1
1.0
4.4575 0.0000 0.0000
-2.2288 3.8603 0.0000
0.0000 0.0000 6.2703
Ho Ga Pd Au
1 2 2 1
direct
0.0000 0.0000 0.0000 Ho
0.3333 0.6667 0.7162 Ga
0.6667 0.3333 0.2838 Ga
0.3333 0.6667 0.2807 Pd
0.6667 0.3333 0.7193 Pd
0.0000 0.0000 0.5000 Au


PBE PmHoGa2Au2, optimized geometry; size of the total moment = 0.0 μB/cell; E = -0.3263 Ry/atom; space-group type = P-3m1
1.0
4.5520 0.0000 0.0000
-2.2760 3.9422 0.0000
0.0000 0.0000 7.2514
Pm Ho Ga Au
1 1 2 2
direct
0.0000 0.0000 0.0000 Pm
0.0000 0.0000 0.5000 Ho
0.3333 0.6667 0.7365 Ga
0.6667 0.3333 0.2635 Ga
0.3333 0.6667 0.2687 Au
0.6667 0.3333 0.7313 Au


PBE PrHoGa2Au4, optimized geometry; size of the total moment = 0.0 μB/cell; E = -0.3083 Ry/atom; space-group type = R-3m
1.0
2.4905 1.4379 7.8650
-2.4905 1.4379 7.8650
0.0000 -2.8758 7.8650
Pr Ho Ga Au
1 1 2 4
direct
0.0000 0.0000 0.0000 Pr
0.5000 0.5000 0.5000 Ho
0.2517 0.2517 0.2517 Ga
0.7483 0.7483 0.7483 Ga
0.1349 0.1349 0.1349 Au
0.3781 0.3781 0.3781 Au
0.6219 0.6219 0.6219 Au
0.8651 0.8651 0.8651 Au